No. 1
A relaxed structure of Li2Ti2Bi2O, computed with PBE.

Lattice parameters (Å, degrees): 4.1377 4.1377 8.0820 104.83 104.83 90.00
Last column: magnetic moment on the atom in μB.
Atoms (fractional coordinates):
Li: 0.1569 0.1569 0.3138  0.00
Li: 0.8431 0.8431 0.6862  0.00
Ti: 0.0000 0.5000 0.0000  0.16
Ti: 0.5000 0.0000 0.0000  0.16
Bi: 0.3543 0.3543 0.7086  -0.01
Bi: 0.6457 0.6457 0.2914  -0.01
O: 0.0000 0.0000 0.0000  0.00

Values from the calculation:
As for the symmetry: No. 139. The value obtained for the raw total energy is -5.638 eV/atom. Its uncorrected formation energy is -1019 meV/atom.

=====

No. 2
A relaxed structure of Li2Ti3BiO8, computed with PBE.

Lattice parameters (Å, degrees): 6.6931 6.6931 6.6931 53.34 53.34 53.34
Last column: magnetic moment on the atom in μB.
Atoms (fractional coordinates):
Li: 0.9089 0.9089 0.9089  0.00
Li: 0.0911 0.0911 0.0911  0.00
Ti: 0.5000 0.5000 0.0000  0.25
Ti: 0.0000 0.5000 0.5000  0.25
Ti: 0.5000 0.0000 0.5000  0.25
Bi: 0.5000 0.5000 0.5000  0.01
O: 0.2910 0.7556 0.7556  0.00
O: 0.7556 0.7556 0.2910  0.00
O: 0.2740 0.2740 0.2740  -0.01
O: 0.7556 0.2910 0.7556  0.00
O: 0.2444 0.7090 0.2444  0.00
O: 0.7260 0.7260 0.7260  -0.01
O: 0.2444 0.2444 0.7090  0.00
O: 0.7090 0.2444 0.2444  0.00

Values from the calculation:
As for the symmetry: No. 166. The value obtained for the raw total energy is -7.542 eV/atom. Its uncorrected formation energy is -2466 meV/atom.